[1]
Below is HoGaHg6 after structural relaxation, with properties calculated at the PBE-GGA level.

Cell lengths 6.8879, 6.8879, 24.7622 Å; angles 90.00, 90.00, 120.00 degrees
Space group R-3m (No. 166, hexagonal axes)
Symmetry-distinct sites (fractional):
Ho: 0.0000 0.0000 0.0000
Ga: 0.0000 0.0000 0.5000
Hg: 0.0195 0.5097 0.7630

Properties
Mass density ... 7.0 g/cm³
Final energy ... -24.33 eV for the cell shown
ΔH_f (0 K) ... 0.16 eV per atom

[2]
Below is SrAs2Pd9 after structural relaxation, with properties calculated at the PBE-GGA level.

Cell lengths 11.0786, 11.0786, 6.7985 Å; angles 90.00, 90.00, 90.00 degrees
Space group I4_1/amd (No. 141, origin choice 2)
Symmetry-distinct sites (fractional):
Sr: 0.0000 0.2500 0.3750
As: 0.0000 0.0000 0.0000
Pd: 0.0000 0.2500 0.8750
Pd: 0.1225 0.0498 0.6861

Properties
Mass density ... 9.5 g/cm³
Final energy ... -249.64 eV for the cell shown
ΔH_f (0 K) ... -0.39 eV per atom

[3]
Below is CsPb3W after structural relaxation, with properties calculated at the PBE-GGA level.

Cell lengths 5.5316, 5.5316, 5.5316 Å; angles 90.00, 90.00, 90.00 degrees
Space group Pm-3m (No. 221)
Symmetry-distinct sites (fractional):
Cs: 0.0000 0.0000 0.0000
Pb: 0.0000 0.5000 0.5000
W: 0.5000 0.5000 0.5000

Properties
Mass density ... 9.2 g/cm³
Final energy ... -23.03 eV for the cell shown
ΔH_f (0 K) ... 0.38 eV per atom

[4]
Below is ZrCoMo after structural relaxation, with properties calculated at the PBE-GGA level.

Cell lengths 6.1358, 6.1358, 6.1358 Å; angles 90.00, 90.00, 90.00 degrees
Space group F-43m (No. 216)
Symmetry-distinct sites (fractional):
Zr: 0.0000 0.0000 0.0000
Co: 0.2500 0.2500 0.7500
Mo: 0.2500 0.2500 0.2500

Properties
Mass density ... 7.1 g/cm³
Final energy ... -92.52 eV for the cell shown
Energy above the lowest structure with this stoichiometry ... 1.069 eV per atom
ΔH_f (0 K) ... 1.12 eV per atom

[5]
Below is NaSb3F after structural relaxation, with properties calculated at the PBE-GGA level.

Cell lengths 5.3169, 5.3169, 5.3169 Å; angles 90.00, 90.00, 90.00 degrees
Space group Pm-3m (No. 221)
Symmetry-distinct sites (fractional):
Na: 0.0000 0.0000 0.0000
Sb: 0.0000 0.0000 0.5000
F: 0.5000 0.5000 0.5000

Properties
Mass density ... 4.5 g/cm³
Final energy ... -12.80 eV for the cell shown
E_form (uncorrected) ... 0.551 eV/atom
Energy above the lowest structure with this stoichiometry ... 0.845 eV per atom

[6]
Below is HgSe8 after structural relaxation, with properties calculated at the PBE-GGA level.

Cell lengths 8.1446, 8.1446, 8.2117 Å; angles 90.00, 90.00, 90.00 degrees
Space group I4/mmm (No. 139)
Symmetry-distinct sites (fractional):
Hg: 0.0000 0.0000 0.0000
Se: 0.0000 0.3546 0.0000
Se: 0.1555 0.1555 0.5000

Properties
Mass density ... 5.1 g/cm³
Final energy ... -53.36 eV for the cell shown
E_form (uncorrected) ... 0.167 eV/atom

[7]
Below is Ta2TlAg after structural relaxation, with properties calculated at the PBE-GGA level.

Cell lengths 2.9507, 4.7576, 5.5038 Å; angles 90.00, 94.39, 90.00 degrees
Space group Pm (No. 6)
Symmetry-distinct sites (fractional):
Ta: 0.0000 0.0000 0.0000
Ta: 0.1834 0.5000 0.7321
Tl: 0.5930 0.5000 0.2287
Ag: 0.5750 0.0000 0.5155

Properties
Mass density ... 14.5 g/cm³
Final energy ... -27.01 eV for the cell shown
ΔH_f (0 K) ... 0.48 eV per atom

[8]
Below is Li2Hf2Pd after structural relaxation, with properties calculated at the PBE-GGA level.

Cell lengths 7.4457, 7.4457, 3.2493 Å; angles 90.00, 90.00, 90.00 degrees
Space group P4/mbm (No. 127)
Symmetry-distinct sites (fractional):
Li: 0.1490 0.3510 0.0000
Hf: 0.1520 0.6520 0.5000
Pd: 0.0000 0.0000 0.5000

Properties
Mass density ... 8.8 g/cm³
Final energy ... -53.59 eV for the cell shown
Energy above the lowest structure with this stoichiometry ... 0.262 eV per atom
ΔH_f (0 K) ... 0.43 eV per atom

[9]
Below is KCdIr after structural relaxation, with properties calculated at the PBE-GGA level.

Cell lengths 2.9710, 2.9710, 8.1911 Å; angles 90.00, 90.00, 120.00 degrees
Space group P3m1 (No. 156)
Symmetry-distinct sites (fractional):
K: 0.0000 0.0000 0.0000
Cd: 0.6667 0.3333 0.3912
Ir: 0.3333 0.6667 0.6743

Properties
Mass density ... 9.1 g/cm³
Final energy ... -9.16 eV for the cell shown
Energy above the lowest structure with this stoichiometry ... 0.189 eV per atom
ΔH_f (0 K) ... 0.57 eV per atom

[10]
Below is Ba2NiBiTe after structural relaxation, with properties calculated at the PBE-GGA level.

Cell lengths 6.2360, 6.2360, 4.7653 Å; angles 90.00, 90.00, 90.00 degrees
Space group P4/mmm (No. 123)
Symmetry-distinct sites (fractional):
Ba: 0.0000 0.5000 0.0000
Ni: 0.0000 0.0000 0.0000
Bi: 0.0000 0.0000 0.5000
Te: 0.5000 0.5000 0.5000

Properties
Mass density ... 6.0 g/cm³
Final energy ... -20.26 eV for the cell shown
E_form (uncorrected) ... -0.723 eV/atom

[11]
Below is SbSeSI2 after structural relaxation, with properties calculated at the PBE-GGA level.

Cell lengths 5.1931, 5.1931, 5.9970 Å; angles 90.00, 90.00, 90.00 degrees
Space group P4/mmm (No. 123)
Symmetry-distinct sites (fractional):
Sb: 0.0000 0.0000 0.0000
Se: 0.5000 0.5000 0.0000
S: 0.0000 0.0000 0.5000
I: 0.0000 0.5000 0.5000

Properties
Mass density ... 5.0 g/cm³
Final energy ... -11.42 eV for the cell shown
E_form (uncorrected) ... 0.683 eV/atom
Energy above the lowest structure with this stoichiometry ... 0.000 eV per atom

[12]
Below is Mg2SiAsS after structural relaxation, with properties calculated at the PBE-GGA level.

Cell lengths 5.2589, 5.2589, 4.2608 Å; angles 90.00, 90.00, 90.00 degrees
Space group P4/mmm (No. 123)
Symmetry-distinct sites (fractional):
Mg: 0.0000 0.5000 0.0000
Si: 0.0000 0.0000 0.0000
As: 0.5000 0.5000 0.5000
S: 0.0000 0.0000 0.5000

Properties
Mass density ... 2.6 g/cm³
Final energy ... -15.69 eV for the cell shown
E_form (uncorrected) ... 0.339 eV/atom